# 1
Entry from the Alexandria database: a relaxed AlSi2Ni4 crystal (GGA-PBEsol).

Results
As for the density: 6.58 Mg/m³. Its density of states at the Fermi level is 2.17 states/eV/f.u. For the uncorrected formation energy, the calculation gives -0.59 eV/atom.

CIF file:
```
data_AlSi2Ni4
_cell_length_a 5.567
_cell_length_b 3.726
_cell_length_c 7.770
_cell_angle_alpha 90.00
_cell_angle_beta 95.61
_cell_angle_gamma 90.00
_space_group_name_H-M_alt 'P 1 21/m 1'
_space_group_IT_number 11
_space_group_name_Hall '-P 2yb'
loop_
_atom_site_label
_atom_site_type_symbol
_atom_site_fract_x
_atom_site_fract_y
_atom_site_fract_z
Al1 Al 0.175 0.250 0.288
Si1 Si 0.233 0.250 0.886
Si2 Si 0.305 0.750 0.582
Ni1 Ni 0.044 0.250 0.607
Ni2 Ni 0.154 0.750 0.077
Ni3 Ni 0.486 0.750 0.322
Ni4 Ni 0.488 0.750 0.886
```

---

# 2
Entry from the Alexandria database: a relaxed AlSiNi2 crystal (GGA-PBEsol).

Results
As for the density: 5.30 Mg/m³. Its density of states at the Fermi level is 2.12 states/eV/f.u. For the uncorrected formation energy, the calculation gives -0.18 eV/atom.

CIF file:
```
data_AlSiNi2
_cell_length_a 3.4523
_cell_length_b 3.4523
_cell_length_c 5.2350
_cell_angle_alpha 90.00
_cell_angle_beta 90.00
_cell_angle_gamma 120.00
_space_group_name_H-M_alt 'P -3 m 1'
_space_group_IT_number 164
_space_group_name_Hall '-P 3 2"'
loop_
_atom_site_label
_atom_site_type_symbol
_atom_site_fract_x
_atom_site_fract_y
_atom_site_fract_z
Al1 Al 0.0000 0.0000 0.0000
Si1 Si 0.0000 0.0000 0.5000
Ni1 Ni 0.3333 0.6667 0.3004
```

---

# 3
Entry from the Alexandria database: a relaxed AlSi3Ni crystal (GGA-PBEsol).

Results
As for the density: 3.37 Mg/m³. Its density of states at the Fermi level is 2.15 states/eV/f.u. For the uncorrected formation energy, the calculation gives 0.38 eV/atom.

CIF file:
```
data_AlSi3Ni
_cell_length_a 4.374
_cell_length_b 4.374
_cell_length_c 4.374
_cell_angle_alpha 90.00
_cell_angle_beta 90.00
_cell_angle_gamma 90.00
_space_group_name_H-M_alt 'P m -3 m'
_space_group_IT_number 221
_space_group_name_Hall '-P 4 2 3'
loop_
_atom_site_label
_atom_site_type_symbol
_atom_site_fract_x
_atom_site_fract_y
_atom_site_fract_z
Al1 Al 0.000 0.000 0.000
Si1 Si 0.000 0.500 0.500
Ni1 Ni 0.500 0.500 0.500
```

---

# 4
Entry from the Alexandria database: a relaxed Al2SiNi8 crystal (GGA-PBEsol).

Results
As for the density: 7.42 Mg/m³. Its density of states at the Fermi level is 12.00 states/eV/f.u. For the uncorrected formation energy, the calculation gives -0.40 eV/atom.

CIF file:
```
data_Al2SiNi8
_cell_length_a 3.554
_cell_length_b 3.554
_cell_length_c 9.772
_cell_angle_alpha 90.00
_cell_angle_beta 90.00
_cell_angle_gamma 90.00
_space_group_name_H-M_alt 'P 4/m m m'
_space_group_IT_number 123
_space_group_name_Hall '-P 4 2'
loop_
_atom_site_label
_atom_site_type_symbol
_atom_site_fract_x
_atom_site_fract_y
_atom_site_fract_z
Al1 Al 0.000 0.000 0.176
Si1 Si 0.000 0.000 0.500
Ni1 Ni 0.000 0.500 0.000
Ni2 Ni 0.000 0.500 0.359
Ni3 Ni 0.500 0.500 0.177
```

---

# 5
Entry from the Alexandria database: a relaxed AlSiNi2 crystal (GGA-PBEsol).

Results
As for the density: 6.00 Mg/m³. Its density of states at the Fermi level is 1.35 states/eV/f.u. For the uncorrected formation energy, the calculation gives -0.65 eV/atom.

CIF file:
```
data_AlSiNi2
_cell_length_a 3.8235
_cell_length_b 3.8235
_cell_length_c 7.5405
_cell_angle_alpha 90.00
_cell_angle_beta 90.00
_cell_angle_gamma 120.00
_space_group_name_H-M_alt 'P 63/m m c'
_space_group_IT_number 194
_space_group_name_Hall '-P 6c 2c'
loop_
_atom_site_label
_atom_site_type_symbol
_atom_site_fract_x
_atom_site_fract_y
_atom_site_fract_z
Al1 Al 0.3333 0.6667 0.2500
Si1 Si 0.0000 0.0000 0.0000
Ni1 Ni 0.3333 0.6667 0.5836
```

---

# 6
Entry from the Alexandria database: a relaxed AlSiNi2 crystal (GGA-PBEsol).

Results
As for the density: 6.28 Mg/m³. Its density of states at the Fermi level is 1.08 states/eV/f.u. For the uncorrected formation energy, the calculation gives -0.57 eV/atom.

CIF file:
```
data_AlSiNi2
_cell_length_a 8.370
_cell_length_b 2.847
_cell_length_c 3.983
_cell_angle_alpha 90.00
_cell_angle_beta 106.04
_cell_angle_gamma 90.00
_space_group_name_H-M_alt 'C 1 m 1'
_space_group_IT_number 8
_space_group_name_Hall 'C -2y'
loop_
_atom_site_label
_atom_site_type_symbol
_atom_site_fract_x
_atom_site_fract_y
_atom_site_fract_z
Al1 Al 0.000 0.000 0.000
Si1 Si 0.263 0.500 0.360
Ni1 Ni 0.257 0.000 0.852
Ni2 Ni 0.496 0.000 0.493
```

---

# 7
Entry from the Alexandria database: a relaxed Al2SiNi5 crystal (GGA-PBEsol).

Results
The polymorph energy (0 for the lowest one) comes out at 85 meV/atom. As for the density: 7.05 Mg/m³. Its density of states at the Fermi level is 4.45 states/eV/f.u. For the uncorrected formation energy, the calculation gives -0.53 eV/atom.

CIF file:
```
data_Al2SiNi5
_cell_length_a 3.712
_cell_length_b 3.712
_cell_length_c 12.847
_cell_angle_alpha 90.00
_cell_angle_beta 90.00
_cell_angle_gamma 90.00
_space_group_name_H-M_alt 'I 4/m m m'
_space_group_IT_number 139
_space_group_name_Hall '-I 4 2'
loop_
_atom_site_label
_atom_site_type_symbol
_atom_site_fract_x
_atom_site_fract_y
_atom_site_fract_z
Al1 Al 0.000 0.000 0.246
Si1 Si 0.000 0.000 0.500
Ni1 Ni 0.000 0.000 0.000
Ni2 Ni 0.000 0.500 0.122
```

---

# 8
Entry from the Alexandria database: a relaxed Al2SiNi2 crystal (GGA-PBEsol).

Results
The polymorph energy (0 for the lowest one) comes out at 0 meV/atom. As for the density: 5.14 Mg/m³. Its density of states at the Fermi level is 1.14 states/eV/f.u. For the uncorrected formation energy, the calculation gives -0.61 eV/atom.

CIF file:
```
data_Al2SiNi2
_cell_length_a 3.9021
_cell_length_b 3.9021
_cell_length_c 4.8870
_cell_angle_alpha 90.00
_cell_angle_beta 90.00
_cell_angle_gamma 120.00
_space_group_name_H-M_alt 'P -3 m 1'
_space_group_IT_number 164
_space_group_name_Hall '-P 3 2"'
loop_
_atom_site_label
_atom_site_type_symbol
_atom_site_fract_x
_atom_site_fract_y
_atom_site_fract_z
Al1 Al 0.3333 0.6667 0.3533
Si1 Si 0.0000 0.0000 0.0000
Ni1 Ni 0.3333 0.6667 0.8543
```

---

| no. | M_tot (μB per formula unit) |
| --- | --- |
| 1 | 0.00 |
| 2 | 0.00 |
| 3 | 0.00 |
| 4 | 0.54 |
| 5 | 0.00 |
| 6 | 0.00 |
| 7 | 0.00 |
| 8 | 0.00 |